NaCr2TeC | PBE | relaxed

## Properties
Formation energy from raw total energies   0.276 eV per atom
Raw total energy   -6.31 eV/atom

Cell lengths 4.139, 4.882, 4.139 Å; angles 90.00, 90.00, 90.00 degrees
Site moments in Bohr magnetons follow the coordinates.
Sites, in units of the cell vectors:
Cr 0.000 0.000 0.500  3.49
Cr 0.500 0.000 0.000  2.94
C 0.000 0.000 0.000  -0.31
Te 0.500 0.500 0.500  -0.04
Na 0.000 0.500 0.000  -0.01